(1)
AcPr2MnN4: relaxed, PBE.

abc: 3.596 6.343 12.250
angles: 90.00 90.00 106.47
Element x y z (fractional)
N 0.270 0.541 0.133
N 0.270 0.541 0.367
N 0.000 0.000 0.500
Pr 0.631 0.263 0.454
Ac 0.100 0.201 0.750
N 0.588 0.175 0.250
N 0.412 0.825 0.750
Mn 0.171 0.341 0.250
N 0.730 0.459 0.633
N 0.000 0.000 0.000
Pr 0.369 0.737 0.546
Mn 0.829 0.659 0.750
Pr 0.369 0.737 0.954
N 0.730 0.459 0.867
Pr 0.631 0.263 0.046
Ac 0.900 0.799 0.250

Calculated values
- energy relative to the elements, uncorrected (meV per atom) = -959
- space group = Cmcm, No. 63
- spin magnetization (Bohr magnetons per cell) = 7.34

***

(2)
Ac2PrMnN4: relaxed, PBE.

abc: 3.626 6.383 12.845
angles: 90.00 90.00 106.50
Element x y z (fractional)
N 0.282 0.563 0.357
N 0.000 0.000 0.500
Mn 0.175 0.350 0.250
Pr 0.107 0.214 0.750
Ac 0.367 0.734 0.954
N 0.593 0.185 0.250
Ac 0.367 0.734 0.546
N 0.718 0.437 0.643
Mn 0.825 0.650 0.750
Ac 0.633 0.266 0.454
Pr 0.893 0.786 0.250
N 0.000 0.000 0.000
N 0.718 0.437 0.857
N 0.407 0.815 0.750
N 0.282 0.563 0.143
Ac 0.633 0.266 0.046

Calculated values
- energy relative to the elements, uncorrected (meV per atom) = -775
- space group = Cmcm, No. 63
- spin magnetization (Bohr magnetons per cell) = 7.46

***

(3)
Ac2PuMnN5: relaxed, PBE.

abc: 3.575 7.467 11.047
angles: 90.00 90.00 103.85
Element x y z (fractional)
Pu 0.807 0.613 0.534
N 0.289 0.579 0.660
N 0.967 0.933 0.494
N 0.330 0.661 0.399
N 0.338 0.677 0.012
N 0.033 0.067 0.994
N 0.670 0.339 0.899
N 0.508 0.017 0.285
N 0.662 0.323 0.512
Ac 0.892 0.784 0.178
Mn 0.545 0.091 0.929
N 0.492 0.983 0.785
Ac 0.138 0.276 0.333
Mn 0.455 0.909 0.429
N 0.711 0.421 0.160
Ac 0.862 0.724 0.833
Pu 0.193 0.387 0.034
Ac 0.108 0.216 0.678

Calculated values
- energy relative to the elements, uncorrected (meV per atom) = -921
- space group = Cmc2_1, No. 36
- spin magnetization (Bohr magnetons per cell) = 12.02

***

(4)
RbAcMnN3: relaxed, PBE.

abc: 3.868 7.381 8.193
angles: 104.25 90.00 105.19
Element x y z (fractional)
N 0.515 0.031 0.344
N 0.892 0.783 0.216
N 0.853 0.705 0.625
N 0.485 0.969 0.656
N 0.108 0.217 0.784
Ac 0.659 0.318 0.598
Ac 0.341 0.682 0.402
Mn 0.010 0.021 0.339
Mn 0.990 0.979 0.661
Rb 0.374 0.747 0.926
Rb 0.626 0.253 0.074
N 0.147 0.295 0.375

Calculated values
- energy relative to the elements, uncorrected (meV per atom) = -218
- space group = C2/m, No. 12
- spin magnetization (Bohr magnetons per cell) = 0.93

***

(5)
RbAc2Mn2N6: relaxed, PBE.

abc: 7.139 6.650 7.035
angles: 116.20 89.94 57.60
Element x y z (fractional)
Mn 0.115 0.771 0.822
N 0.372 0.637 0.868
N 0.008 0.365 0.133
N 0.925 0.148 0.379
Rb 0.500 0.000 0.500
Ac 0.808 0.383 0.800
N 0.992 0.635 0.867
N 0.628 0.363 0.132
Mn 0.885 0.229 0.178
Ac 0.192 0.617 0.200
N 0.075 0.852 0.621

Calculated values
- energy relative to the elements, uncorrected (meV per atom) = -447
- space group = C2/m, No. 12
- spin magnetization (Bohr magnetons per cell) = 1.07

***

(6)
Ac4MnRe3N12: relaxed, PBE.

abc: 6.917 6.917 6.917
angles: 109.47 109.47 109.47
Element x y z (fractional)
N 0.750 0.250 0.500
N 0.500 0.250 0.750
N 0.251 0.251 0.000
N 0.250 0.750 0.500
Ac 0.500 0.500 0.500
N 0.000 0.749 0.749
N 0.500 0.750 0.250
Mn 0.000 0.000 0.000
N 0.251 0.000 0.251
Re 0.500 0.500 0.000
N 0.750 0.500 0.250
Ac 0.500 0.000 0.000
N 0.749 0.749 0.000
Ac 0.000 0.000 0.500
N 0.000 0.251 0.251
Ac 0.000 0.500 0.000
N 0.250 0.500 0.750
Re 0.500 0.000 0.500
N 0.749 0.000 0.749
Re 0.000 0.500 0.500

Calculated values
- energy relative to the elements, uncorrected (meV per atom) = -648
- space group = Im-3m, No. 229
- spin magnetization (Bohr magnetons per cell) = 1.95

***

(7)
Ac3MnRe2N8: relaxed, PBE.

abc: 5.647 5.647 7.476
angles: 90.00 90.00 120.00
Element x y z (fractional)
Ac 0.000 0.000 0.000
Ac 0.667 0.333 0.349
Re 0.667 0.333 0.779
Mn 0.000 0.000 0.500
Ac 0.333 0.667 0.651
N 0.679 0.840 0.323
N 0.160 0.321 0.323
N 0.321 0.160 0.677
N 0.160 0.840 0.323
N 0.667 0.333 0.024
N 0.333 0.667 0.976
N 0.840 0.160 0.677
N 0.840 0.679 0.677
Re 0.333 0.667 0.221

Calculated values
- energy relative to the elements, uncorrected (meV per atom) = -726
- space group = P-3m1, No. 164
- spin magnetization (Bohr magnetons per cell) = 0.01

***

(8)
Ac2MnS2N2: relaxed, PBE.

abc: 4.153 4.153 8.061
angles: 104.93 104.93 90.00
Element x y z (fractional)
N 0.000 0.500 0.000
S 0.830 0.830 0.661
S 0.170 0.170 0.339
Mn 0.000 0.000 0.000
Ac 0.382 0.382 0.764
N 0.500 0.000 0.000
Ac 0.618 0.618 0.236

Calculated values
- energy relative to the elements, uncorrected (meV per atom) = -1319
- space group = I4/mmm, No. 139
- spin magnetization (Bohr magnetons per cell) = 3.05

***

(9)
Ac3ScMn2N6: relaxed, PBE.

abc: 5.846 5.846 6.840
angles: 90.00 90.00 120.00
Element x y z (fractional)
N 0.341 0.170 0.699
N 0.830 0.659 0.699
N 0.170 0.341 0.301
N 0.170 0.830 0.301
Sc 0.000 0.000 0.500
N 0.830 0.170 0.699
Mn 0.667 0.333 0.784
Ac 0.000 0.000 0.000
Mn 0.333 0.667 0.216
N 0.659 0.830 0.301
Ac 0.667 0.333 0.334
Ac 0.333 0.667 0.666

Calculated values
- energy relative to the elements, uncorrected (meV per atom) = -982
- space group = P-3m1, No. 164
- spin magnetization (Bohr magnetons per cell) = 3.91

***

(10)
Ac2Mn2Si2N: relaxed, PBE.

abc: 4.102 6.018 6.287
angles: 73.25 70.96 70.08
Element x y z (fractional)
N 0.000 0.000 0.000
Mn 0.185 0.708 0.922
Mn 0.815 0.292 0.078
Ac 0.444 0.811 0.302
Ac 0.556 0.189 0.698
Si 0.806 0.620 0.767
Si 0.194 0.380 0.233

Calculated values
- energy relative to the elements, uncorrected (meV per atom) = -648
- space group = C2/m, No. 12
- spin magnetization (Bohr magnetons per cell) = 0.00

***

(11)
Ac2SmMn2N6: relaxed, PBE.

abc: 5.729 5.729 7.033
angles: 65.97 65.97 60.00
Element x y z (fractional)
N 0.736 0.245 0.283
Ac 0.786 0.786 0.642
N 0.755 0.264 0.717
N 0.736 0.736 0.283
N 0.264 0.264 0.717
Mn 0.405 0.405 0.786
Mn 0.595 0.595 0.214
Sm 0.000 0.000 0.000
Ac 0.214 0.214 0.358
N 0.264 0.755 0.717
N 0.245 0.736 0.283

Calculated values
- energy relative to the elements, uncorrected (meV per atom) = -757
- space group = R-3m, No. 166
- spin magnetization (Bohr magnetons per cell) = 0.90

***

(12)
Ac3SmMn2N6: relaxed, PBE.

abc: 6.011 6.011 6.969
angles: 90.00 90.00 120.00
Element x y z (fractional)
N 0.650 0.825 0.285
N 0.175 0.825 0.285
Ac 0.667 0.333 0.327
Mn 0.667 0.333 0.796
Ac 0.000 0.000 0.000
Ac 0.333 0.667 0.673
Mn 0.333 0.667 0.204
Sm 0.000 0.000 0.500
N 0.825 0.650 0.715
N 0.350 0.175 0.715
N 0.825 0.175 0.715
N 0.175 0.350 0.285

Calculated values
- energy relative to the elements, uncorrected (meV per atom) = -852
- space group = P-3m1, No. 164
- spin magnetization (Bohr magnetons per cell) = 3.98

***

(13)
SrAc2MnN4: relaxed, PBE.

abc: 3.743 6.832 12.609
angles: 90.00 90.00 105.90
Element x y z (fractional)
Mn 0.185 0.369 0.250
N 0.634 0.268 0.250
N 0.000 0.000 0.000
Ac 0.371 0.741 0.542
Ac 0.629 0.259 0.458
Sr 0.871 0.741 0.250
N 0.734 0.469 0.633
Sr 0.129 0.259 0.750
N 0.366 0.732 0.750
N 0.266 0.531 0.367
Ac 0.629 0.259 0.042
N 0.000 0.000 0.500
N 0.266 0.531 0.133
N 0.734 0.469 0.867
Mn 0.815 0.631 0.750
Ac 0.371 0.741 0.958

Calculated values
- energy relative to the elements, uncorrected (meV per atom) = -762
- space group = Cmcm, No. 63
- spin magnetization (Bohr magnetons per cell) = 6.03

***

(14)
SrAc3Mn2N6: relaxed, PBE.

abc: 6.017 6.017 7.184
angles: 90.00 90.00 120.00
Element x y z (fractional)
N 0.827 0.173 0.738
Mn 0.333 0.667 0.209
N 0.173 0.346 0.262
N 0.346 0.173 0.738
Ac 0.333 0.667 0.713
Ac 0.000 0.000 0.000
N 0.173 0.827 0.262
Mn 0.667 0.333 0.791
Ac 0.667 0.333 0.287
Sr 0.000 0.000 0.500
N 0.654 0.827 0.262
N 0.827 0.654 0.738

Calculated values
- energy relative to the elements, uncorrected (meV per atom) = -711
- space group = P-3m1, No. 164
- spin magnetization (Bohr magnetons per cell) = 3.01

***

(15)
AcTh2MnN4: relaxed, PBE.

abc: 3.666 6.332 12.147
angles: 90.00 90.00 106.82
Element x y z (fractional)
N 0.000 0.000 0.000
Ac 0.904 0.809 0.250
Th 0.368 0.737 0.554
N 0.265 0.530 0.383
Mn 0.171 0.343 0.250
Th 0.368 0.737 0.946
N 0.265 0.530 0.117
Mn 0.829 0.657 0.750
Th 0.632 0.263 0.446
N 0.566 0.132 0.250
N 0.000 0.000 0.500
Ac 0.096 0.191 0.750
N 0.735 0.470 0.617
Th 0.632 0.263 0.054
N 0.735 0.470 0.883
N 0.434 0.868 0.750

Calculated values
- energy relative to the elements, uncorrected (meV per atom) = -1190
- space group = Cmcm, No. 63
- spin magnetization (Bohr magnetons per cell) = 8.05

***

(16)
AcThMnN4: relaxed, PBE.

abc: 3.752 3.752 7.318
angles: 104.85 104.85 90.00
Element x y z (fractional)
N 0.839 0.839 0.679
N 0.491 0.991 0.982
Mn 0.984 0.984 0.968
Ac 0.646 0.646 0.292
N 0.991 0.491 0.982
N 0.190 0.190 0.380
Th 0.358 0.358 0.717

Calculated values
- energy relative to the elements, uncorrected (meV per atom) = -949
- space group = I4mm, No. 107
- spin magnetization (Bohr magnetons per cell) = 0.00

***

(17)
Ac2ThMn2N6: relaxed, PBE.

abc: 5.794 5.794 7.034
angles: 65.68 65.68 60.00
Element x y z (fractional)
N 0.757 0.260 0.722
N 0.260 0.757 0.722
N 0.740 0.740 0.278
N 0.260 0.260 0.722
N 0.243 0.740 0.278
Ac 0.213 0.213 0.361
Th 0.000 0.000 0.000
N 0.740 0.243 0.278
Mn 0.406 0.406 0.782
Ac 0.787 0.787 0.639
Mn 0.594 0.594 0.218

Calculated values
- energy relative to the elements, uncorrected (meV per atom) = -831
- space group = R-3m, No. 166
- spin magnetization (Bohr magnetons per cell) = 2.00

***

(18)
AcThMnN3: relaxed, PBE.

abc: 3.582 7.907 7.397
angles: 101.18 90.00 90.00
Element x y z (fractional)
Th 0.750 0.352 0.814
N 0.250 0.834 0.513
Ac 0.750 0.819 0.797
N 0.750 0.425 0.142
N 0.750 0.862 0.159
N 0.250 0.138 0.841
Ac 0.250 0.181 0.203
N 0.250 0.575 0.858
Mn 0.750 0.931 0.422
Th 0.250 0.648 0.186
N 0.750 0.166 0.487
Mn 0.250 0.069 0.578

Calculated values
- energy relative to the elements, uncorrected (meV per atom) = -1019
- space group = P2_1/m, No. 11
- spin magnetization (Bohr magnetons per cell) = 2.15

***

(19)
Ac2TiMn2N6: relaxed, PBE.

abc: 5.747 5.747 6.270
angles: 62.72 62.72 60.00
Element x y z (fractional)
Ac 0.234 0.234 0.297
N 0.242 0.242 0.770
N 0.758 0.758 0.230
N 0.758 0.254 0.230
Mn 0.564 0.564 0.308
N 0.746 0.242 0.770
Mn 0.436 0.436 0.692
N 0.254 0.758 0.230
Ti 0.000 0.000 0.000
Ac 0.766 0.766 0.703
N 0.242 0.746 0.770

Calculated values
- energy relative to the elements, uncorrected (meV per atom) = -863
- space group = R-3m, No. 166
- spin magnetization (Bohr magnetons per cell) = 0.00

***

(20)
AcTi2MnN4: relaxed, PBE.

abc: 3.244 5.745 10.659
angles: 90.00 90.00 106.40
Element x y z (fractional)
Mn 0.170 0.339 0.250
N 0.000 0.000 0.000
Ti 0.368 0.735 0.957
Ti 0.632 0.265 0.457
Ti 0.632 0.265 0.043
N 0.265 0.529 0.392
N 0.411 0.822 0.750
Ac 0.905 0.810 0.250
N 0.735 0.471 0.608
N 0.589 0.178 0.250
N 0.000 0.000 0.500
Ti 0.368 0.735 0.543
N 0.735 0.471 0.892
N 0.265 0.529 0.108
Ac 0.095 0.190 0.750
Mn 0.830 0.661 0.750

Calculated values
- energy relative to the elements, uncorrected (meV per atom) = -1103
- space group = Cmcm, No. 63
- spin magnetization (Bohr magnetons per cell) = 0.00